## ScNiSCl2 (PBE)

Data for a relaxed ScNiSCl2 crystal.

Output
ΔE to the lowest computed polymorph = 0.000 eV per atom
E_form (uncorrected) = -591 meV per atom
total magnetic moment = 1.04 μB per formula unit

Lattice parameters (Å, degrees): 4.8927 4.8927 5.0405 90.00 90.00 90.00
Last column: nearest neighbours and their distance in Å.
Atoms (fractional coordinates):
Ni 0.5000 0.5000 0.5000  4 S 3.46, 8 Cl 3.51
Sc 0.0000 0.0000 0.0000  4 Cl 2.45, 2 S 2.52
S 0.0000 0.0000 0.5000  2 Sc 2.52
Cl 0.0000 0.5000 0.0000  2 Sc 2.45
Cl 0.5000 0.0000 0.0000  2 Sc 2.45